[1]
{"formula": "ZrAsNF2", "functional": "PBE-GGA", "state": "relaxed", "total_energy_ev_per_cell": -26.762, "relative_energy_mev_per_atom": 986, "magmom_total_mub_per_cell": 0.00, "volume_a3_per_cell": 72.1, "e_form_raw_mev_per_atom": -299, "lattice": [[4.222, 0.000, 0.000], [0.000, 4.222, 0.000], [0.000, 0.000, 4.045]], "species": ["F", "Zr", "As", "F", "N"], "frac_coords": [[0.500, 0.000, 0.000], [0.500, 0.500, 0.500], [0.000, 0.000, 0.000], [0.000, 0.500, 0.000], [0.000, 0.000, 0.500]]}

[2]
{"formula": "Tm2Si3Rh", "functional": "PBE-GGA", "state": "relaxed", "total_energy_ev_per_cell": -37.386, "magmom_total_mub_per_cell": 0.00, "volume_a3_per_cell": 107.1, "e_form_raw_mev_per_atom": -804, "lattice": [[3.897, 0.000, 1.632], [1.735, 4.962, 1.325], [-0.022, -0.074, 5.522]], "species": ["Si", "Rh", "Tm", "Tm", "Si", "Si"], "frac_coords": [[0.826, 0.235, 0.112], [0.165, 0.394, 0.276], [0.441, 0.805, 0.314], [0.548, 0.193, 0.712], [0.856, 0.606, 0.682], [0.164, 0.767, 0.905]]}

[3]
{"formula": "Ce4S3O", "functional": "PBE-GGA", "state": "relaxed", "total_energy_ev_per_cell": -57.966, "magmom_total_mub_per_cell": 1.00, "volume_a3_per_cell": 170.1, "e_form_raw_mev_per_atom": -2111, "lattice": [[-1.289, -2.985, 4.487], [3.576, -3.925, -1.584], [4.032, 2.527, 2.840]], "species": ["S", "S", "Ce", "O", "S", "Ce", "Ce", "Ce"], "frac_coords": [[0.000, 0.500, 0.500], [0.500, 0.500, 0.000], [0.000, 0.500, 0.000], [0.000, 0.000, 0.000], [0.500, 0.000, 0.500], [0.500, 0.500, 0.500], [0.000, 0.000, 0.500], [0.500, 0.000, 0.000]]}

What is the formula in the first record? ZrAsNF2